#P
## Li2RuRh (PBE-GGA)

Data for a geometry-optimized Li2RuRh structure.

a b c (Å): 3.5882 3.5882 4.2788
angles (deg): 90.00 90.00 90.00
Last column: nearest neighbours and their distance in Å.
Space group P4/mmm (No. 123)
Unique sites:
1 Li 0.0000 0.5000 0.0000 [2 per cell]  4 Li 2.54, 4 Ru 2.79, 4 Rh 2.79
2 Ru 0.0000 0.0000 0.5000 [1 per cell]  4 Rh 2.54, 8 Li 2.79
3 Rh 0.5000 0.5000 0.5000 [1 per cell]  4 Ru 2.54, 8 Li 2.79



#Q
## Li2RuRh (PBE-GGA)

Data for a geometry-optimized Li2RuRh structure.

a b c (Å): 4.2000 4.2000 5.9323
angles (deg): 90.00 90.00 90.00
Last column: nearest neighbours and their distance in Å.
Space group I-4m2 (No. 119)
Unique sites:
1 Li 0.0000 0.0000 0.0000 [2 per cell]  4 Li 2.57, 4 Rh 2.57
2 Li 0.0000 0.5000 0.2500 [2 per cell]  4 Li 2.57, 4 Ru 2.57
3 Ru 0.0000 0.0000 0.5000 [2 per cell]  4 Li 2.57, 4 Rh 2.57
4 Rh 0.0000 0.5000 0.7500 [2 per cell]  4 Li 2.57, 4 Ru 2.57



#R
## Li2RuRh (PBE-GGA)

Data for a geometry-optimized Li2RuRh structure.

a b c (Å): 6.6995 6.6995 4.8943
angles (deg): 90.00 90.00 90.00
Last column: nearest neighbours and their distance in Å.
Space group I-42d (No. 122)
Unique sites:
1 Li 0.2461 0.2500 0.1250 [8 per cell]  2 Rh 2.43, 2 Li 2.45, 2 Ru 2.46
2 Ru 0.0000 0.0000 0.5000 [4 per cell]  2 Rh 2.45, 4 Li 2.46
3 Rh 0.0000 0.0000 0.0000 [4 per cell]  4 Li 2.43, 2 Ru 2.45



#S
## Li2RuRh (PBE-GGA)

Data for a geometry-optimized Li2RuRh structure.

a b c (Å): 2.7015 4.4820 4.5033
angles (deg): 90.00 90.00 90.00
Last column: nearest neighbours and their distance in Å.
Space group Pmmm (No. 47)
Unique sites:
1 Li 0.0000 0.0000 0.0000 [1 per cell]  6 Li 2.62-2.70, 4 Rh 2.63
2 Li 0.5000 0.5000 0.0000 [1 per cell]  6 Li 2.62-2.70, 4 Ru 2.63
3 Ru 0.0000 0.5000 0.5000 [1 per cell]  4 Rh 2.62, 4 Li 2.63, 2 Ru 2.70
4 Rh 0.5000 0.0000 0.5000 [1 per cell]  4 Ru 2.62, 4 Li 2.63, 2 Rh 2.70



Pick the most stable structure from those above. Pick: #S